# Sr4LiTe

A relaxed structure of Sr4LiTe (GGA-PBEsol, Alexandria via LeMat-Bulk).

Calculated values
SG = F-43m
energy = -2.007 eV/atom
crystal system = cubic

The structure in POSCAR format:
```
Sr4LiTe
1.0
0.0000 5.0970 5.0970
5.0970 0.0000 5.0970
5.0970 5.0970 0.0000
Sr Li Te
4 1 1
direct
0.1245 0.1245 0.1245
0.1245 0.1245 0.6266
0.1245 0.6266 0.1245
0.6266 0.1245 0.1245
0.5000 0.5000 0.5000
0.7500 0.7500 0.7500
```